Computed, not measured: a geometry-optimized Mg2Cr2Mo structure at the PBE level of DFT.

* ΔE to the lowest computed polymorph: 0 meV per atom
* space-group type: No. 139
* energy of formation: 3.79 eV per formula unit
* V: 86.6 Å³/cell

The structure in extended XYZ format:
```
5
Lattice="3.038 0.000 0.000 0.000 3.038 0.000 1.519 1.519 9.383" Properties=species:S:1:pos:R:3 pbc="T T T"
Mg 1.519 1.519 2.090
Mg 3.038 3.038 7.294
Mo 0.000 0.000 0.000
Cr 1.519 3.038 4.692
Cr 3.038 1.519 4.692
```

---

Computed, not measured: a geometry-optimized MgCrMo2 structure at the PBE level of DFT.

* space-group type: No. 8
* energy of formation: 1.85 eV per formula unit
* V: 61.6 Å³/cell

The structure in extended XYZ format:
```
4
Lattice="4.752 -0.010 -0.006 4.044 2.496 -0.006 0.095 0.027 5.178" Properties=species:S:1:pos:R:3 pbc="T T T"
Mo 0.139 0.039 5.174
Mo 2.232 0.631 1.311
Cr 4.395 1.242 2.596
Mg 6.667 1.884 3.845
```

---

Computed, not measured: a geometry-optimized MgCr2Mo structure at the PBE level of DFT.

* space-group type: No. 166
* energy of formation: 2.34 eV per formula unit
* V: 59.8 Å³/cell

The structure in extended XYZ format:
```
4
Lattice="9.320 -0.004 -0.002 8.918 2.708 -0.002 8.918 1.322 2.364" Properties=species:S:1:pos:R:3 pbc="T T T"
Mo 20.368 3.020 1.769
Mg 6.789 1.007 0.590
Cr 0.087 0.013 0.008
Cr 13.491 2.000 1.172
```

---

Computed, not measured: a geometry-optimized Mg2CrMo structure at the PBE level of DFT.

* ΔE to the lowest computed polymorph: 127 meV per atom
* space-group type: No. 44
* energy of formation: 1.41 eV per formula unit
* V: 68.8 Å³/cell

The structure in extended XYZ format:
```
4
Lattice="-1.064 -3.712 -3.708 -3.363 -3.858 1.572 0.619 5.253 -0.830" Properties=species:S:1:pos:R:3 pbc="T T T"
Mg -2.516 -1.259 -0.181
Mg -4.357 -7.451 -2.102
Mo -2.377 -4.065 -1.147
Cr -1.198 -0.897 -2.739
```

---

Computed, not measured: a geometry-optimized MgCr2Mo structure at the PBE level of DFT.

* space-group type: No. 99
* energy of formation: 1.32 eV per formula unit
* V: 59.3 Å³/cell

The structure in extended XYZ format:
```
4
Lattice="-1.162 -2.633 -0.400 2.663 -1.150 -0.170 -0.010 -1.051 6.943" Properties=species:S:1:pos:R:3 pbc="T T T"
Cr 0.000 -0.037 0.246
Cr 0.748 -2.101 1.103
Mo 0.742 -2.713 5.148
Mg -0.005 -0.507 3.349
```

---

Computed, not measured: a geometry-optimized MgCr2Mo structure at the PBE level of DFT.

* space-group type: No. 44
* energy of formation: 1.42 eV per formula unit
* V: 56.8 Å³/cell

The structure in extended XYZ format:
```
4
Lattice="5.078 -0.009 0.001 2.297 4.529 -0.001 -3.165 -3.112 2.467" Properties=species:S:1:pos:R:3 pbc="T T T"
Cr 7.252 4.445 0.000
Cr 2.998 -0.309 1.234
Mo 1.273 1.755 1.233
Mg 3.749 2.298 0.000
```

---

Computed, not measured: a geometry-optimized MgCr2Mo structure at the PBE level of DFT.

* space-group type: No. 71
* energy of formation: 1.80 eV per formula unit
* V: 57.3 Å³/cell

The structure in extended XYZ format:
```
4
Lattice="4.978 -0.004 0.002 2.058 4.532 -0.002 -3.024 -3.031 2.539" Properties=species:S:1:pos:R:3 pbc="T T T"
Mo 1.276 1.883 1.268
Cr 3.391 2.182 0.000
Cr 0.127 0.082 0.000
Mg 2.736 -0.386 1.270
```

---

Computed, not measured: a geometry-optimized Mg2CrMo structure at the PBE level of DFT.

* ΔE to the lowest computed polymorph: 125 meV per atom
* space-group type: No. 6
* energy of formation: 1.40 eV per formula unit
* V: 66.1 Å³/cell

The structure in extended XYZ format:
```
4
Lattice="-0.353 4.070 1.160 -1.795 0.429 -2.050 -5.074 -1.158 2.521" Properties=species:S:1:pos:R:3 pbc="T T T"
Cr -5.106 1.507 0.931
Mg -1.982 1.846 0.692
Mg -6.745 -0.730 0.511
Mo -3.692 -0.378 0.204
```

---

Computed, not measured: a geometry-optimized MgCrMo2 structure at the PBE level of DFT.

* space-group type: No. 65
* energy of formation: 1.80 eV per formula unit
* V: 61.8 Å³/cell

The structure in extended XYZ format:
```
4
Lattice="5.177 -0.039 0.000 -2.407 4.583 0.000 0.000 0.000 2.616" Properties=species:S:1:pos:R:3 pbc="T T T"
Mg -1.204 2.292 1.308
Cr 2.588 -0.019 1.308
Mo 0.000 0.000 0.000
Mo 1.385 2.272 0.000
```

---

Computed, not measured: a geometry-optimized MgCr2Mo structure at the PBE level of DFT.

* space-group type: No. 216
* energy of formation: 1.81 eV per formula unit
* V: 58.9 Å³/cell

The structure in extended XYZ format:
```
4
Lattice="-1.412 -2.680 -3.146 -0.512 -4.258 0.826 -4.011 -1.713 0.228" Properties=species:S:1:pos:R:3 pbc="T T T"
Cr 0.000 0.000 0.000
Cr -1.484 -2.163 -0.523
Mo -4.451 -6.488 -1.569
Mg -2.968 -4.325 -1.046
```

---

Computed, not measured: a geometry-optimized Mg2CrMo structure at the PBE level of DFT.

* ΔE to the lowest computed polymorph: 202 meV per atom
* space-group type: No. 71
* energy of formation: 1.71 eV per formula unit
* V: 66.0 Å³/cell

The structure in extended XYZ format:
```
4
Lattice="5.403 -0.012 0.016 2.735 4.659 -0.016 -3.771 -2.845 2.622" Properties=species:S:1:pos:R:3 pbc="T T T"
Mg 8.104 4.627 0.000
Mg 4.103 2.343 0.000
Mo 1.517 2.069 1.303
Cr 2.850 -0.267 1.319
```

---

Computed, not measured: a geometry-optimized Mg2CrMo structure at the PBE level of DFT.

* ΔE to the lowest computed polymorph: 162 meV per atom
* space-group type: No. 99
* energy of formation: 1.55 eV per formula unit
* V: 71.4 Å³/cell

The structure in extended XYZ format:
```
4
Lattice="-0.922 2.216 -1.598 -2.362 0.201 1.642 4.091 5.465 5.218" Properties=species:S:1:pos:R:3 pbc="T T T"
Mo 2.144 2.864 2.734
Cr 1.341 5.194 3.827
Mg 3.988 5.327 5.086
Mg -0.530 2.695 1.441
```

---

Number 1: Fermi-level density of states 0.957 states/eV per atom. Number 2: Fermi-level density of states 0.893 states/eV per atom. Number 3: Fermi-level density of states 0.900 states/eV per atom. Number 4: Fermi-level density of states 0.558 states/eV per atom. Number 5: Fermi-level density of states 0.859 states/eV per atom. Number 6: Fermi-level density of states 0.725 states/eV per atom. Number 7: Fermi-level density of states 0.979 states/eV per atom. Number 8: Fermi-level density of states 0.520 states/eV per atom. Number 9: Fermi-level density of states 0.826 states/eV per atom. Number 10: Fermi-level density of states 0.918 states/eV per atom. Number 11: Fermi-level density of states 0.672 states/eV per atom. Number 12: Fermi-level density of states 0.837 states/eV per atom.